(1)
# Rb2CuGeO4

An optimized crystal structure of Rb2CuGeO4 (PBE, Alexandria via LeMat-Bulk).

abc: 11.6158 10.1844 6.7261
angles: 84.12 60.71 35.17
Last column: nearest neighbours and their distance in Å.
Atoms (fractional coordinates):
Rb 0.0514 0.0514 0.6986  6 O 2.99-3.28
Rb 0.3014 0.3014 0.9486  6 O 2.99-3.28
Rb 0.6986 0.6986 0.0514  6 O 2.99-3.28
Rb 0.9486 0.9486 0.3014  6 O 2.99-3.28
Cu 0.1250 0.1250 0.1250  4 O 1.98
Cu 0.8750 0.8750 0.8750  4 O 1.98
Ge 0.3750 0.3750 0.3750  4 O 1.80
Ge 0.6250 0.6250 0.6250  4 O 1.80
O 0.0210 0.6499 0.5517  1 Ge 1.80, 1 Cu 1.98
O 0.2774 0.5517 0.6499  1 Ge 1.80, 1 Cu 1.98
O 0.3501 0.9790 0.7226  1 Ge 1.80, 1 Cu 1.98
O 0.4483 0.7226 0.9790  1 Ge 1.80, 1 Cu 1.98
O 0.5517 0.2774 0.0210  1 Ge 1.80, 1 Cu 1.98
O 0.6499 0.0210 0.2774  1 Ge 1.80, 1 Cu 1.98
O 0.7226 0.4483 0.3501  1 Ge 1.80, 1 Cu 1.98
O 0.9790 0.3501 0.4483  1 Ge 1.80, 1 Cu 1.98

Computed properties:
SG: Fddd, No. 70
D(E_F) in states/eV per atom: 0.148
Uncorrected formation energy in eV/atom: -1.317

(2)
# RbCuGe2O6

An optimized crystal structure of RbCuGe2O6 (PBE, Alexandria via LeMat-Bulk).

abc: 8.0718 8.0718 5.5555
angles: 105.90 105.90 92.67
Last column: nearest neighbours and their distance in Å.
Atoms (fractional coordinates):
Rb 0.1265 0.8735 0.7500  8 O 2.86-3.12, 2 Cu 2.96
Rb 0.8735 0.1265 0.2500  8 O 2.86-3.12, 2 Cu 2.96
Cu 0.2135 0.7865 0.2500  4 O 1.82-1.87
Cu 0.7865 0.2135 0.7500  4 O 1.82-1.87
Ge 0.2157 0.3672 0.0384  4 O 1.75-1.81
Ge 0.3672 0.2157 0.5384  4 O 1.75-1.81
Ge 0.6328 0.7843 0.4616  4 O 1.75-1.81
Ge 0.7843 0.6328 0.9616  4 O 1.75-1.81
O 0.0272 0.2161 0.8511  1 Ge 1.77, 1 Cu 1.87
O 0.2042 0.5774 0.0111  1 Ge 1.75, 1 Cu 1.82
O 0.2161 0.0272 0.3511  1 Ge 1.77, 1 Cu 1.87
O 0.2724 0.3691 0.3751  2 Ge 1.80-1.81
O 0.3691 0.2724 0.8751  2 Ge 1.80-1.81
O 0.4226 0.7958 0.4889  1 Ge 1.75, 1 Cu 1.82
O 0.5774 0.2042 0.5111  1 Ge 1.75, 1 Cu 1.82
O 0.6309 0.7276 0.1249  2 Ge 1.80-1.81
O 0.7276 0.6309 0.6249  2 Ge 1.80-1.81
O 0.7839 0.9728 0.6489  1 Ge 1.77, 1 Cu 1.87
O 0.7958 0.4226 0.9889  1 Ge 1.75, 1 Cu 1.82
O 0.9728 0.7839 0.1489  1 Ge 1.77, 1 Cu 1.87

Computed properties:
SG: C2/c, No. 15
Uncorrected formation energy in eV/atom: -1.298

(3)
# CuReGeO6

An optimized crystal structure of CuReGeO6 (PBE, Alexandria via LeMat-Bulk).

abc: 5.0405 5.0405 9.0713
angles: 90.00 90.00 120.00
Last column: nearest neighbours and their distance in Å.
Atoms (fractional coordinates):
Cu 0.0000 0.0000 0.0000  6 O 2.20
Cu 0.0000 0.0000 0.5000  6 O 2.20
Re 0.3333 0.6667 0.2500  6 O 1.92
Re 0.6667 0.3333 0.7500  6 O 1.92
Ge 0.3333 0.6667 0.7500  6 O 1.92
Ge 0.6667 0.3333 0.2500  6 O 1.92
O 0.0005 0.3631 0.1343  1 Re 1.92, 1 Ge 1.92
O 0.9995 0.3626 0.6343  1 Re 1.92, 1 Ge 1.92
O 0.0005 0.6374 0.3657  1 Re 1.92, 1 Ge 1.92
O 0.9995 0.6369 0.8657  1 Re 1.92, 1 Ge 1.92
O 0.3626 0.9995 0.1343  1 Re 1.92, 1 Ge 1.92
O 0.3631 0.0005 0.6343  1 Re 1.92, 1 Ge 1.92
O 0.3626 0.3631 0.3657  1 Re 1.92, 1 Ge 1.92
O 0.3631 0.3626 0.8657  1 Re 1.92, 1 Ge 1.92
O 0.6369 0.9995 0.3657  1 Re 1.92, 1 Ge 1.92
O 0.6374 0.0005 0.8657  1 Re 1.92, 1 Ge 1.92
O 0.6369 0.6374 0.1343  1 Re 1.92, 1 Ge 1.92
O 0.6374 0.6369 0.6343  1 Re 1.92, 1 Ge 1.92

Computed properties:
SG: P-31c, No. 163
D(E_F) in states/eV per atom: 0.275
Uncorrected formation energy in eV/atom: -1.229